No. 1
Crystalline MnTe2Ru at its relaxed geometry, computed with PBE-GGA.

Cell: 5.822 5.822 11.593 Å, 90.00 90.00 90.00°
Space group I-42d (No. 122)
Asymmetric unit:
1 Mn 0.000 0.000 0.000
2 Te 0.238 0.250 0.125
3 Ru 0.000 0.000 0.500

- Energy above the lowest structure with this stoichiometry: 545 meV/atom
- Uncorrected formation energy: 0.4400 eV/atom

---

No. 2
Crystalline Na3Pm4Sn4 at its relaxed geometry, computed with PBE-GGA.

Cell: 5.046 8.383 17.619 Å, 90.00 90.00 90.00°
Space group Immm (No. 71)
Asymmetric unit:
1 Na 0.000 0.000 0.000
2 Na 0.000 0.500 0.095
3 Pm 0.000 0.279 0.330
4 Sn 0.000 0.000 0.198
5 Sn 0.000 0.178 0.500

- Energy of formation from the pure elements: -0.27 eV per atom

---

No. 3
Crystalline BeFeAg2 at its relaxed geometry, computed with PBE-GGA.

Cell: 2.800 4.515 4.612 Å, 90.00 90.00 90.00°
Space group Pmmm (No. 47)
Asymmetric unit:
1 Be 0.000 0.000 0.000
2 Fe 0.500 0.000 0.500
3 Ag 0.000 0.500 0.500
4 Ag 0.500 0.500 0.000

- Energy of formation from the pure elements: 0.44 eV per atom

---

No. 4
Crystalline Y5Si3C at its relaxed geometry, computed with PBE-GGA.

Cell: 8.4616 8.4616 6.4491 Å, 90.00 90.00 120.00°
Space group P6_3/mcm (No. 193)
Asymmetric unit:
1 Y 0.0000 0.2236 0.2500
2 Y 0.3333 0.6667 0.0000
3 Si 0.0000 0.4105 0.7500
4 C 0.0000 0.0000 0.0000

- Uncorrected formation energy: -0.6291 eV/atom

---

No. 5
Crystalline K2ZrRe at its relaxed geometry, computed with PBE-GGA.

Cell: 2.9617 2.9617 38.8666 Å, 90.00 90.00 120.00°
Space group R-3m (No. 166, hexagonal axes)
Asymmetric unit:
1 K 0.0000 0.0000 0.2413
2 Zr 0.0000 0.0000 0.0000
3 Re 0.0000 0.0000 0.5000

- Energy above the lowest structure with this stoichiometry: 622 meV/atom
- Energy of formation from the pure elements: 1.27 eV per atom

---

No. 6
Crystalline V3RuCl at its relaxed geometry, computed with PBE-GGA.

Cell: 4.753 4.753 4.753 Å, 90.00 90.00 90.00°
Space group Pm-3m (No. 221)
Asymmetric unit:
1 V 0.000 0.000 0.500
2 Ru 0.000 0.000 0.000
3 Cl 0.500 0.500 0.500

- Energy above the lowest structure with this stoichiometry: 428 meV/atom
- Uncorrected formation energy: 1.0565 eV/atom

---

No. 7
Crystalline Cu2BiC at its relaxed geometry, computed with PBE-GGA.

Cell: 6.260 6.260 6.260 Å, 90.00 90.00 90.00°
Space group Fm-3m (No. 225)
Asymmetric unit:
1 Cu 0.250 0.250 0.250
2 Bi 0.000 0.000 0.000
3 C 0.000 0.000 0.500

- Energy above the lowest structure with this stoichiometry: 660 meV/atom
- Energy of formation from the pure elements: 1.42 eV per atom

---

No. 8
Crystalline AcLa5Nd6 at its relaxed geometry, computed with PBE-GGA.

Cell: 6.480 11.243 12.290 Å, 90.00 100.20 90.00°
Space group C2/m (No. 12)
Asymmetric unit:
1 Ac 0.000 0.000 0.000
2 La 0.000 0.167 0.500
3 La 0.000 0.333 0.000
4 La 0.000 0.500 0.500
5 Nd 0.248 0.332 0.748
6 Nd 0.249 0.500 0.252

- Energy of formation from the pure elements: 0.01 eV per atom

---

No. 9
Crystalline Tl2Hg2F7 at its relaxed geometry, computed with PBE-GGA.

Cell: 8.631 7.428 5.810 Å, 90.00 90.03 90.00°
Space group C2/m (No. 12)
Asymmetric unit:
1 Tl 0.000 0.223 0.000
2 Hg 0.227 0.500 0.501
3 F 0.000 0.000 0.500
4 F 0.001 0.500 0.756
5 F 0.250 0.249 0.755

- Uncorrected formation energy: -1.5632 eV/atom

---

No. 10
Crystalline Cs3PmPa3Se8 at its relaxed geometry, computed with PBE-GGA.

Cell: 8.4219 8.4219 25.8288 Å, 90.00 90.00 120.00°
Space group R-3m (No. 166, hexagonal axes)
Asymmetric unit:
1 Cs 0.0000 0.5000 0.0000
2 Pm 0.0000 0.0000 0.5000
3 Pa 0.0000 0.5000 0.5000
4 Se 0.0000 0.0000 0.2298
5 Se 0.0085 0.5042 0.7705

- Uncorrected formation energy: -1.4392 eV/atom

---

No. 11
Crystalline SrLiZn2Cd at its relaxed geometry, computed with PBE-GGA.

Cell: 5.981 5.981 6.266 Å, 90.00 90.00 90.00°
Space group P4/mmm (No. 123)
Asymmetric unit:
1 Sr 0.000 0.000 0.000
2 Li 0.500 0.500 0.500
3 Zn 0.000 0.500 0.000
4 Cd 0.000 0.000 0.500

- Energy of formation from the pure elements: 0.63 eV per atom

---

No. 12
Crystalline AlOsRu2 at its relaxed geometry, computed with PBE-GGA.

Cell: 2.835 2.835 6.880 Å, 90.00 90.00 90.00°
Space group P4/mmm (No. 123)
Asymmetric unit:
1 Al 0.000 0.000 0.000
2 Os 0.000 0.000 0.500
3 Ru 0.500 0.500 0.238

- Energy of formation from the pure elements: -0.23 eV per atom

---

No. 13
Crystalline LaYSc2 at its relaxed geometry, computed with PBE-GGA.

Cell: 11.566 3.487 5.888 Å, 90.00 101.41 90.00°
Space group Cm (No. 8)
Asymmetric unit:
1 La 0.000 0.000 0.000
2 Y 0.258 0.500 0.262
3 Sc 0.011 0.500 0.508
4 Sc 0.250 0.000 0.754

- Energy above the lowest structure with this stoichiometry: 15 meV/atom
- Energy of formation from the pure elements: 0.07 eV per atom

---

No. 14
Crystalline Cs3K9Tl2 at its relaxed geometry, computed with PBE-GGA.

Cell: 6.575 16.756 17.345 Å, 90.00 90.00 90.00°
Space group Immm (No. 71)
Asymmetric unit:
1 Cs 0.000 0.000 0.000
2 Cs 0.000 0.000 0.316
3 K 0.000 0.290 0.121
4 K 0.000 0.356 0.369
5 K 0.000 0.500 0.000
6 Tl 0.000 0.166 0.500

- Energy of formation from the pure elements: 0.01 eV per atom

---

No. 15
Crystalline CaHo2TaN4 at its relaxed geometry, computed with PBE-GGA.

Cell: 3.396 11.908 12.150 Å, 90.00 90.00 90.00°
Space group Cmcm (No. 63)
Asymmetric unit:
1 Ca 0.000 0.109 0.250
2 Ho 0.000 0.371 0.031
3 Ta 0.000 0.158 0.750
4 N 0.000 0.000 0.000
5 N 0.000 0.256 0.622
6 N 0.000 0.438 0.250

- Uncorrected formation energy: -1.2797 eV/atom

---

No. 16
Crystalline RbMgTl2 at its relaxed geometry, computed with PBE-GGA.

Cell: 5.812 5.812 20.425 Å, 90.00 90.00 90.00°
Space group I-42d (No. 122)
Asymmetric unit:
1 Rb 0.000 0.000 0.000
2 Mg 0.000 0.000 0.500
3 Tl 0.093 0.250 0.625

- Energy above the lowest structure with this stoichiometry: 209 meV/atom
- Energy of formation from the pure elements: 0.13 eV per atom

---

No. 17
Crystalline LaCePrNd2 at its relaxed geometry, computed with PBE-GGA.

Cell: 8.561 6.514 6.340 Å, 90.00 95.44 90.00°
Space group P2/c (No. 13)
Asymmetric unit:
1 La 0.000 0.000 0.000
2 Ce 0.000 0.451 0.250
3 Pr 0.500 0.166 0.250
4 Nd 0.305 0.320 0.719

- Energy of formation from the pure elements: 0.25 eV per atom

---

No. 18
Crystalline YTi2O4 at its relaxed geometry, computed with PBE-GGA.

Cell: 6.196 6.411 8.612 Å, 90.00 90.00 90.00°
Space group Imma (No. 74)
Asymmetric unit:
1 Y 0.000 0.000 0.000
2 Ti 0.000 0.000 0.500
3 Ti 0.250 0.250 0.250
4 O 0.000 0.033 0.264
5 O 0.231 0.250 0.499

- Energy above the lowest structure with this stoichiometry: 10 meV/atom
- Uncorrected formation energy: -2.8398 eV/atom

---

No. 19
Crystalline CdNiPt3 at its relaxed geometry, computed with PBE-GGA.

Cell: 7.344 3.484 6.419 Å, 90.00 90.00 90.00°
Space group Pmma (No. 51)
Asymmetric unit:
1 Cd 0.250 0.000 0.082
2 Ni 0.000 0.000 0.500
3 Pt 0.060 0.500 0.800
4 Pt 0.250 0.500 0.435

- Energy above the lowest structure with this stoichiometry: 0 meV/atom
- Energy of formation from the pure elements: -0.06 eV per atom

---

No. 20
Crystalline SbW2Br at its relaxed geometry, computed with PBE-GGA.

Cell: 5.624 9.567 3.380 Å, 90.00 121.74 90.00°
Space group C2/m (No. 12)
Asymmetric unit:
1 Sb 0.000 0.000 0.000
2 W 0.250 0.250 0.500
3 Br 0.000 0.500 0.000

- Energy above the lowest structure with this stoichiometry: 1025 meV/atom
- Uncorrected formation energy: 1.2248 eV/atom

---

No. 21
Crystalline PmDy12Ho7 at its relaxed geometry, computed with PBE-GGA.

Cell: 11.256 11.256 11.256 Å, 90.00 90.00 90.00°
Space group Im-3m (No. 229)
Asymmetric unit:
1 Pm 0.000 0.000 0.000
2 Dy 0.000 0.254 0.254
3 Ho 0.000 0.000 0.500
4 Ho 0.250 0.250 0.250

- Energy above the lowest structure with this stoichiometry: 410 meV/atom
- Energy of formation from the pure elements: 0.71 eV per atom

---

No. 22
Crystalline CdIr2Os at its relaxed geometry, computed with PBE-GGA.

Cell: 2.7929 2.7929 27.7870 Å, 90.00 90.00 120.00°
Space group R3m (No. 160, hexagonal axes)
Asymmetric unit:
1 Cd 0.0000 0.0000 0.0000
2 Ir 0.0000 0.0000 0.5012
3 Ir 0.0000 0.0000 0.7543
4 Os 0.0000 0.0000 0.2436

- Energy of formation from the pure elements: 0.26 eV per atom

---

No. 23
Crystalline Cs2PrSe2Cl2 at its relaxed geometry, computed with PBE-GGA.

Cell: 5.750 5.750 17.873 Å, 90.00 90.00 90.00°
Space group I4/mmm (No. 139)
Asymmetric unit:
1 Cs 0.000 0.000 0.148
2 Pr 0.000 0.000 0.500
3 Se 0.000 0.500 0.000
4 Cl 0.000 0.000 0.341

- Uncorrected formation energy: -1.6393 eV/atom

---

| no. | ρ (g cm⁻³) | D(E_F) (states/eV/cell) |
| --- | --- | --- |
| 1 | 7.0 | 13.38 |
| 2 | 5.0 | 21.60 |
| 3 | 8.0 | 2.03 |
| 4 | 4.5 | 14.48 |
| 5 | 6.0 | 10.58 |
| 6 | 4.5 | 14.58 |
| 7 | 9.4 | 4.42 |
| 8 | 6.7 | 40.15 |
| 9 | 8.4 | 7.44 |
| 10 | 5.9 | 57.59 |
| 11 | 2.5 | 3.82 |
| 12 | 12.6 | 2.59 |
| 13 | 4.5 | 11.63 |
| 14 | 2.0 | 21.21 |
| 15 | 8.2 | 12.26 |
| 16 | 5.0 | 8.02 |
| 17 | 6.7 | 21.62 |
| 18 | 4.8 | 14.98 |
| 19 | 15.3 | 10.20 |
| 20 | 12.2 | 7.52 |
| 21 | 7.6 | 47.53 |
| 22 | 18.2 | 15.08 |
| 23 | 3.6 | 16.02 |